(1)
Computed, not measured: TbCe3Zr2N6 after structural relaxation at the PBE level of DFT.

Results
- formation energy from raw total energies (meV/atom) = -1619.4
- magnetic moment (μB per formula unit) = 0.00

abc: 5.929 5.929 6.026
angles: 99.43 99.43 120.00
Positions (direct):
Tb1 0.000 0.000 0.000
Ce1 0.166 0.834 0.500
Ce2 0.500 0.500 0.500
Ce3 0.834 0.166 0.500
Zr1 0.333 0.667 0.000
Zr2 0.667 0.333 0.000
N1 0.077 0.423 0.231
N2 0.270 0.270 0.771
N3 0.423 0.077 0.231
N4 0.577 0.923 0.769
N5 0.730 0.730 0.229
N6 0.923 0.577 0.769

=====

(2)
Computed, not measured: CeTcN2 after structural relaxation at the PBE level of DFT.

Results
- formation energy from raw total energies (meV/atom) = -381.5
- magnetic moment (μB per formula unit) = 1.06

abc: 6.144 6.144 6.144
angles: 35.16 35.16 35.16
Positions (direct):
Ce1 0.000 0.000 0.000
Tc1 0.500 0.500 0.500
N1 0.392 0.392 0.392
N2 0.608 0.608 0.608

=====

(3)
Computed, not measured: CeTc2N6 after structural relaxation at the PBE level of DFT.

Results
- formation energy from raw total energies (meV/atom) = -17.5
- magnetic moment (μB per formula unit) = 0.00

abc: 5.730 5.730 7.369
angles: 106.15 106.15 38.09
Positions (direct):
Ce1 0.000 0.000 0.000
Tc1 0.239 0.239 0.682
Tc2 0.761 0.761 0.318
N1 0.097 0.097 0.741
N2 0.243 0.243 0.397
N3 0.372 0.372 0.902
N4 0.628 0.628 0.098
N5 0.757 0.757 0.603
N6 0.903 0.903 0.259

=====

| no. | uncorrected energy (Ha/atom) |
| --- | --- |
| 1 | -0.334 |
| 2 | -0.317 |
| 3 | -0.313 |